[1]
Here is a relaxed GeSe2Br crystal from Alexandria. Energies are from GGA-PBE.

- formation energy (no corrections) (eV/atom) = 0.0835
- symmetry = I-42d (122)
- E above lowest polymorph (eV/f.u.) = 0.66

Cell: 7.2071 7.2071 6.6871 Å, 57.39 57.39 90.00°
With the nearest neighbours (Å) after each atom.
Fractional positions:
Se (0.3750, 0.4455, 0.7500)  2 Ge 2.47
Se (0.8750, 0.8045, 0.7500)  2 Ge 2.47
Se (0.5545, 0.1250, 0.2500)  2 Ge 2.47
Se (0.1955, 0.6250, 0.2500)  2 Ge 2.47
Br (0.0000, 0.0000, 0.0000)  4 Se 3.12
Br (0.7500, 0.2500, 0.5000)  4 Se 3.12
Ge (0.2500, 0.7500, 0.5000)  4 Se 2.47
Ge (0.5000, 0.5000, 0.0000)  4 Se 2.47

[2]
Here is a relaxed SiGeSeBr2 crystal from Alexandria. Energies are from GGA-PBE.

- formation energy (no corrections) (eV/atom) = 0.1988
- symmetry = P4/mmm (123)
- E above lowest polymorph (eV/f.u.) = 0.00

Cell: 5.0421 5.0421 5.1073 Å, 90.00 90.00 90.00°
With the nearest neighbours (Å) after each atom.
Fractional positions:
Si (0.0000, 0.0000, 0.0000)  4 Br 2.52, 2 Se 2.55
Se (0.0000, 0.0000, 0.5000)  2 Si 2.55
Br (0.5000, 0.0000, 0.0000)  2 Si 2.52
Br (0.0000, 0.5000, 0.0000)  2 Si 2.52
Ge (0.5000, 0.5000, 0.5000)  4 Se 3.57, 8 Br 3.59

[3]
Here is a relaxed Sm6Ge2SeBr3 crystal from Alexandria. Energies are from GGA-PBE.

- formation energy (no corrections) (eV/atom) = -1.2545
- symmetry = C2/m (12)

Cell: 7.3448 7.3448 7.5582 Å, 99.31 99.31 120.01°
With the nearest neighbours (Å) after each atom.
Fractional positions:
Sm (0.9300, 0.5912, 0.7895)  2 Ge 2.86, 1 Se 2.91, 1 Br 3.16
Sm (0.2685, 0.2685, 0.7896)  2 Ge 2.86, 1 Se 2.91, 1 Br 3.18
Sm (0.0700, 0.4088, 0.2105)  2 Ge 2.86, 1 Se 2.91, 1 Br 3.16
Sm (0.7315, 0.7315, 0.2104)  2 Ge 2.86, 1 Se 2.91, 1 Br 3.18
Sm (0.4088, 0.0700, 0.2105)  2 Ge 2.86, 1 Se 2.91, 1 Br 3.16
Sm (0.5912, 0.9300, 0.7895)  2 Ge 2.86, 1 Se 2.91, 1 Br 3.16
Br (0.8317, 0.1683, 0.5000)  6 Sm 3.16-3.24
Br (0.1683, 0.8317, 0.5000)  6 Sm 3.16-3.24
Br (0.5000, 0.5000, 0.5000)  6 Sm 3.18-3.22
Ge (0.6665, 0.3335, 0.0000)  6 Sm 2.86
Ge (0.3335, 0.6665, 0.0000)  6 Sm 2.86
Se (0.0000, 0.0000, 0.0000)  6 Sm 2.91

[4]
Here is a relaxed Sm3GeSeBr crystal from Alexandria. Energies are from GGA-PBE.

- formation energy (no corrections) (eV/atom) = -1.3263
- symmetry = P2_1/m (11)

Cell: 4.0817 7.5181 10.9263 Å, 103.40 90.00 90.00°
With the nearest neighbours (Å) after each atom.
Fractional positions:
Sm (0.2500, 0.9385, 0.8457)  3 Se 2.95-3.03, 1 Br 3.01, 2 Ge 3.13
Sm (0.2500, 0.6997, 0.5084)  3 Ge 2.99-3.05, 3 Br 3.02-3.13
Sm (0.2500, 0.4620, 0.8290)  1 Br 2.97, 3 Se 2.98-3.07, 2 Ge 3.03
Sm (0.7500, 0.0615, 0.1543)  3 Se 2.95-3.03, 1 Br 3.01, 2 Ge 3.13
Sm (0.7500, 0.3003, 0.4916)  3 Ge 2.99-3.05, 3 Br 3.02-3.13
Sm (0.7500, 0.5380, 0.1710)  1 Br 2.97, 3 Se 2.98-3.07, 2 Ge 3.03
Se (0.7500, 0.2375, 0.9390)  6 Sm 2.95-3.07
Se (0.2500, 0.7625, 0.0610)  6 Sm 2.95-3.07
Br (0.2500, 0.1201, 0.6272)  5 Sm 2.97-3.13
Br (0.7500, 0.8799, 0.3728)  5 Sm 2.97-3.13
Ge (0.2500, 0.3492, 0.3015)  7 Sm 2.99-3.13
Ge (0.7500, 0.6508, 0.6985)  7 Sm 2.99-3.13

[5]
Here is a relaxed Sm6Ge3Se2Br crystal from Alexandria. Energies are from GGA-PBE.

- formation energy (no corrections) (eV/atom) = -1.3263
- symmetry = C2/m (12)

Cell: 4.2427 8.5108 9.4977 Å, 103.05 102.91 90.00°
With the nearest neighbours (Å) after each atom.
Fractional positions:
Sm (0.3257, 0.9212, 0.6514)  3 Ge 2.90-2.95, 2 Se 3.05, 1 Br 3.14
Sm (0.9977, 0.2695, 0.9955)  3 Ge 2.88-2.93, 1 Se 3.04, 2 Br 3.13
Sm (0.0023, 0.7305, 0.0045)  3 Ge 2.88-2.93, 1 Se 3.04, 2 Br 3.13
Sm (0.6743, 0.0788, 0.3486)  3 Ge 2.90-2.95, 2 Se 3.05, 1 Br 3.14
Sm (0.3355, 0.4102, 0.6710)  3 Ge 2.96-2.97, 3 Se 3.05-3.06
Sm (0.6645, 0.5898, 0.3290)  3 Ge 2.96-2.97, 3 Se 3.05-3.06
Br (0.5000, 0.0000, 0.0000)  6 Sm 3.13-3.14
Ge (0.1645, 0.8333, 0.3290)  6 Sm 2.90-2.97
Ge (0.8355, 0.1667, 0.6710)  6 Sm 2.90-2.97
Ge (0.5000, 0.5000, 0.0000)  6 Sm 2.88-2.96
Se (0.8337, 0.6683, 0.6674)  6 Sm 3.04-3.06
Se (0.1663, 0.3317, 0.3326)  6 Sm 3.04-3.06

[6]
Here is a relaxed SnGeSeBr2 crystal from Alexandria. Energies are from GGA-PBE.

- formation energy (no corrections) (eV/atom) = -0.1155
- symmetry = P4/mmm (123)
- E above lowest polymorph (eV/f.u.) = 0.00

Cell: 5.2514 5.2514 5.3173 Å, 90.00 90.00 90.00°
With the nearest neighbours (Å) after each atom.
Fractional positions:
Br (0.0000, 0.5000, 0.0000)  2 Ge 2.63
Br (0.5000, 0.0000, 0.0000)  2 Ge 2.63
Ge (0.0000, 0.0000, 0.0000)  4 Br 2.63, 2 Se 2.66
Se (0.0000, 0.0000, 0.5000)  2 Ge 2.66
Sn (0.5000, 0.5000, 0.5000)  4 Se 3.71, 8 Br 3.74

[7]
Here is a relaxed SnGeSe2Br crystal from Alexandria. Energies are from GGA-PBE.

- formation energy (no corrections) (eV/atom) = -0.0157
- symmetry = P4/mmm (123)
- E above lowest polymorph (eV/f.u.) = 0.00

Cell: 5.1059 5.1059 5.2180 Å, 90.00 90.00 90.00°
With the nearest neighbours (Å) after each atom.
Fractional positions:
Br (0.0000, 0.0000, 0.5000)  2 Ge 2.61
Ge (0.0000, 0.0000, 0.0000)  4 Se 2.55, 2 Br 2.61
Se (0.5000, 0.0000, 0.0000)  2 Ge 2.55
Se (0.0000, 0.5000, 0.0000)  2 Ge 2.55
Sn (0.5000, 0.5000, 0.5000)  4 Br 3.61, 8 Se 3.65

[8]
Here is a relaxed SnGeSe2Br crystal from Alexandria. Energies are from GGA-PBE.

- formation energy (no corrections) (eV/atom) = 0.2759
- symmetry = P4/mmm (123)
- E above lowest polymorph (eV/f.u.) = 1.46

Cell: 5.3447 5.3447 5.3489 Å, 90.00 90.00 90.00°
With the nearest neighbours (Å) after each atom.
Fractional positions:
Se (0.5000, 0.0000, 0.0000)  2 Sn 2.67
Se (0.0000, 0.5000, 0.0000)  2 Sn 2.67
Br (0.0000, 0.0000, 0.5000)  2 Sn 2.67
Ge (0.5000, 0.5000, 0.5000)  4 Br 3.78, 8 Se 3.78
Sn (0.0000, 0.0000, 0.0000)  4 Se 2.67, 2 Br 2.67